Entry P
YTaCl2: optimized geometry, PBE.

Cell: 3.1831 3.1831 10.9970 Å, 90.00 90.00 90.00°
Last column: nearest neighbours and their distance in Å.
Fractional coordinates of all 4 atoms:
Y1 0.5000 0.5000 0.7500  8 Cl 2.78
Cl1 0.0000 0.0000 0.8991  4 Y 2.78
Cl2 0.0000 0.0000 0.6009  4 Y 2.78
Ta1 0.5000 0.5000 0.2500  4 Ta 3.18

* volume: 111 Å³ per cell
* D(E_F): 0.7687 states/eV/atom


Entry Q
YTaCl2: optimized geometry, PBE.

Cell: 4.3224 3.2290 5.9124 Å, 97.95 90.00 90.00°
Last column: nearest neighbours and their distance in Å.
Fractional coordinates of all 4 atoms:
Y1 0.5000 0.7500 0.7500  4 Cl 2.86, 2 Ta 3.17
Cl1 0.0000 0.1626 0.0068  2 Ta 2.59, 1 Cl 2.85, 2 Y 2.86
Cl2 0.0000 0.3374 0.4932  2 Ta 2.59, 1 Cl 2.85, 2 Y 2.86
Ta1 0.5000 0.2500 0.2500  4 Cl 2.59

* volume: 82 Å³ per cell
* D(E_F): 0.5488 states/eV/atom


Entry R
YTaCl2: optimized geometry, PBE.

Cell: 9.8922 9.8922 9.8922 Å, 20.13 20.13 20.13°
Last column: nearest neighbours and their distance in Å.
Fractional coordinates of all 4 atoms:
Y1 0.7521 0.7521 0.7521  3 Cl 2.74
Cl1 0.0210 0.0210 0.0210  3 Y 2.74
Cl2 0.2247 0.2247 0.2247  3 Ta 2.57
Ta1 0.5022 0.5022 0.5022  3 Cl 2.57

* volume: 100 Å³ per cell
* D(E_F): 0.1064 states/eV/atom


Most stable one: entry R, least stable one: entry P.


Entry P
YTaCl2: optimized geometry, PBE.

Cell: 6.0728 6.0728 6.0728 Å, 149.35 133.64 56.60°
Last column: nearest neighbours and their distance in Å.
Fractional coordinates of all 4 atoms:
Y1 0.2484 0.7484 0.5000  6 Cl 2.90-2.91, 2 Y 3.21
Cl1 0.0217 0.0217 0.0000  4 Ta 2.88, 2 Y 2.91, 4 Cl 3.16-3.21
Cl2 0.7155 0.2155 0.5000  2 Ta 2.68, 4 Y 2.90
Ta1 0.5143 0.5143 0.0000  6 Cl 2.68-2.88

* volume: 82 Å³ per cell
* D(E_F): 1.2533 states/eV/atom


Entry Q
YTaCl2: optimized geometry, PBE.

Cell: 3.2026 3.2026 9.3063 Å, 90.00 90.00 90.06°
Last column: nearest neighbours and their distance in Å.
Fractional coordinates of all 4 atoms:
Y1 0.5000 0.5000 0.7455  4 Cl 2.86, 4 Y 3.20
Cl1 0.0000 0.0000 0.9338  4 Y 2.86, 4 Cl 3.20
Cl2 0.5000 0.5000 0.3310  4 Ta 2.70-2.71
Ta1 0.0000 0.0000 0.4898  4 Cl 2.70-2.71

* volume: 95 Å³ per cell
* D(E_F): 0.4208 states/eV/atom


Entry R
YTaCl2: optimized geometry, PBE.

Cell: 5.5992 5.6618 3.3907 Å, 69.11 96.64 121.94°
Last column: nearest neighbours and their distance in Å.
Fractional coordinates of all 4 atoms:
Y1 0.5000 0.5000 0.0000  4 Cl 2.73
Cl1 0.0000 0.0000 0.0000  2 Ta 2.73, 2 Y 2.73
Cl2 0.5000 0.0000 0.5000  2 Y 2.73, 2 Ta 2.73
Ta1 0.0000 0.5000 0.5000  4 Cl 2.73

* volume: 85 Å³ per cell
* D(E_F): 0.8554 states/eV/atom


Entry S
YTaCl2: optimized geometry, PBE.

Cell: 6.2388 3.1381 5.6432 Å, 56.27 90.00 90.00°
Last column: nearest neighbours and their distance in Å.
Fractional coordinates of all 4 atoms:
Y1 0.5000 0.0098 0.6246  4 Cl 2.80-2.85
Cl1 0.0000 0.9770 0.1253  2 Ta 2.35
Cl2 0.5000 0.0248 0.1247  4 Y 2.80-2.85, 2 Cl 3.12
Ta1 0.0000 0.4883 0.6253  2 Cl 2.35

* volume: 92 Å³ per cell
* D(E_F): 0.7566 states/eV/atom


Most stable one: entry Q, least stable one: entry P.


Entry P
YTaCl2: optimized geometry, PBE.

Cell: 4.9607 4.9607 4.9607 Å, 125.54 125.54 80.64°
Last column: nearest neighbours and their distance in Å.
Fractional coordinates of all 4 atoms:
Y1 0.7500 0.2500 0.5000  8 Cl 2.95, 4 Ta 3.21
Cl1 0.0000 0.0000 0.0000  4 Ta 2.95, 4 Y 2.95, 4 Cl 3.21
Cl2 0.5000 0.5000 0.0000  4 Ta 2.95, 4 Y 2.95, 4 Cl 3.21
Ta1 0.2500 0.7500 0.5000  8 Cl 2.95, 4 Y 3.21

* volume: 78 Å³ per cell
* D(E_F): 1.0969 states/eV/atom


Entry Q
YTaCl2: optimized geometry, PBE.

Cell: 5.6804 5.6804 5.6804 Å, 148.20 117.09 72.22°
Last column: nearest neighbours and their distance in Å.
Fractional coordinates of all 4 atoms:
Y1 0.2500 0.7500 0.5000  4 Cl 2.98, 2 Y 3.11
Cl1 0.9726 0.9726 0.0000  2 Ta 2.57
Cl2 0.5274 0.5274 0.0000  2 Ta 2.57
Ta1 0.7500 0.2500 0.5000  4 Cl 2.57

* volume: 85 Å³ per cell
* D(E_F): 0.8370 states/eV/atom


Entry R
YTaCl2: optimized geometry, PBE.

Cell: 3.3840 3.3840 9.0095 Å, 90.00 90.00 126.01°
Last column: nearest neighbours and their distance in Å.
Fractional coordinates of all 4 atoms:
Y1 0.5000 0.5000 0.7500  4 Cl 2.87, 2 Y 3.07
Cl1 0.0000 0.0000 0.0186  2 Ta 2.59, 2 Y 2.87
Cl2 0.0000 0.0000 0.4814  2 Ta 2.59, 2 Y 2.87
Ta1 0.5000 0.5000 0.2500  4 Cl 2.59

* volume: 83 Å³ per cell
* D(E_F): 0.5255 states/eV/atom


Most stable one: entry Q, least stable one: entry P.


Entry P
YTaCl2: optimized geometry, PBE.

Cell: 3.0569 6.1229 4.5227 Å, 90.00 90.00 90.00°
Last column: nearest neighbours and their distance in Å.
Fractional coordinates of all 4 atoms:
Y1 0.0000 0.5000 0.5000  4 Cl 2.73, 2 Y 3.06
Cl1 0.0000 0.0000 0.0000  4 Ta 2.73, 2 Cl 3.06
Cl2 0.5000 0.5000 0.0000  4 Y 2.73, 2 Cl 3.06
Ta1 0.5000 0.0000 0.5000  4 Cl 2.73, 2 Ta 3.06

* volume: 85 Å³ per cell
* D(E_F): 0.7564 states/eV/atom


Entry Q
YTaCl2: optimized geometry, PBE.

Cell: 4.8389 4.8389 3.2402 Å, 90.00 90.00 93.96°
Last column: nearest neighbours and their distance in Å.
Fractional coordinates of all 4 atoms:
Y1 0.0000 0.5000 0.5000  8 Cl 2.91, 2 Y 3.24
Cl1 0.0000 0.0000 0.0000  4 Y 2.91, 4 Ta 2.91, 2 Cl 3.24
Cl2 0.5000 0.5000 0.0000  4 Ta 2.91, 4 Y 2.91, 2 Cl 3.24
Ta1 0.5000 0.0000 0.5000  8 Cl 2.91, 2 Ta 3.24

* volume: 76 Å³ per cell
* D(E_F): 0.8368 states/eV/atom


Most stable one: entry P, least stable one: entry Q.


Entry P
YTaCl2: optimized geometry, PBE.

Cell: 10.0368 10.0368 10.0368 Å, 18.36 18.36 18.36°
Last column: nearest neighbours and their distance in Å.
Fractional coordinates of all 4 atoms:
Y1 0.7500 0.7500 0.7500  6 Y 3.20
Cl1 0.9782 0.9782 0.9782  3 Ta 2.60
Cl2 0.5218 0.5218 0.5218  3 Ta 2.60
Ta1 0.2500 0.2500 0.2500  6 Cl 2.60

* volume: 88 Å³ per cell
* D(E_F): 0.2082 states/eV/atom


Entry Q
YTaCl2: optimized geometry, PBE.

Cell: 4.5383 4.5383 9.1446 Å, 75.63 75.63 90.00°
Last column: nearest neighbours and their distance in Å.
Fractional coordinates of all 8 atoms:
Y1 0.5000 0.5000 0.0000  4 Cl 2.73
Y2 0.2500 0.7500 0.5000  4 Cl 2.73
Cl1 0.6531 0.1250 0.2500  2 Ta 2.62, 2 Y 2.73
Cl2 0.0969 0.6250 0.2500  2 Ta 2.62, 2 Y 2.73
Cl3 0.3750 0.3469 0.7500  2 Ta 2.62, 2 Y 2.73
Cl4 0.8750 0.9031 0.7500  2 Ta 2.62, 2 Y 2.73
Ta1 0.0000 0.0000 0.0000  4 Cl 2.62
Ta2 0.7500 0.2500 0.5000  4 Cl 2.62

* volume: 176 Å³ per cell
* D(E_F): 0.6552 states/eV/atom


Most stable one: entry Q, least stable one: entry P.


Entry P
YTaCl2: optimized geometry, PBE.

Cell: 6.5773 6.5773 6.8684 Å, 46.86 46.86 28.24°
Last column: nearest neighbours and their distance in Å.
Fractional coordinates of all 4 atoms:
Y1 0.2311 0.2311 0.3411  3 Cl 2.76-2.93, 2 Ta 3.07
Cl1 0.9924 0.9924 0.9044  2 Ta 2.60, 1 Y 2.76
Cl2 0.8337 0.8337 0.5750  2 Ta 2.54
Ta1 0.4427 0.4427 0.6795  4 Cl 2.54-2.60

* volume: 100 Å³ per cell
* D(E_F): 0.2592 states/eV/atom


Entry Q
YTaCl2: optimized geometry, PBE.

Cell: 5.1537 5.1537 5.1537 Å, 60.00 60.00 60.00°
Last column: nearest neighbours and their distance in Å.
Fractional coordinates of all 4 atoms:
Y1 0.7500 0.7500 0.7500  4 Ta 3.16, 4 Cl 3.16
Cl1 0.0000 0.0000 0.0000  4 Y 3.16, 4 Cl 3.16
Cl2 0.2500 0.2500 0.2500  4 Ta 3.16, 4 Cl 3.16
Ta1 0.5000 0.5000 0.5000  4 Cl 3.16, 4 Y 3.16

* volume: 97 Å³ per cell
* D(E_F): 0.8015 states/eV/atom


Most stable one: entry P, least stable one: entry Q.